## CsNaB2F8 (PBE-GGA)

Data for a geometry-optimized CsNaB2F8 structure.

Lattice parameters (Å, degrees): 5.2591 5.2591 8.6026 72.20 72.20 60.00
Atoms (fractional coordinates):
Cs 0.5000 0.5000 0.5000
Na 0.0000 0.0000 0.0000
B 0.2580 0.2580 0.2260
B 0.7420 0.7420 0.7740
F 0.1987 0.1987 0.4038
F 0.5449 0.2479 0.1704
F 0.8013 0.8013 0.5962
F 0.0369 0.5449 0.1704
F 0.9631 0.4551 0.8296
F 0.2479 0.0369 0.1704
F 0.7521 0.9631 0.8296
F 0.4551 0.7521 0.8296

DOS at the Fermi energy   0.00 states/eV/cell
Size of the total moment   0.32 μB per formula unit
Total DFT energy (no corrections)   -5.535 eV/atom